First-principles (PBE+U) data for a relaxed Li8Mn12Ni4O31 crystal, as listed in the Alexandria database.

Cell lengths 8.340, 8.350, 8.342 Å; angles 89.54, 89.36, 90.42 degrees
Site moments in Bohr magnetons follow the coordinates.
Sites, in units of the cell vectors:
Li 0.999 0.004 0.010  0.01
Li 0.290 0.282 0.206  0.00
Li 0.254 0.752 0.746  0.00
Li 0.492 0.997 0.505  0.00
Li 0.505 0.502 0.993  0.00
Li 0.750 0.252 0.750  0.00
Li 0.753 0.749 0.252  0.00
Li 0.993 0.496 0.501  0.00
Mn 0.127 0.625 0.121  3.21
Mn 0.125 0.379 0.876  3.19
Mn 0.125 0.125 0.642  3.83
Mn 0.378 0.869 0.124  3.21
Mn 0.375 0.619 0.372  3.21
Mn 0.371 0.374 0.624  3.21
Mn 0.630 0.877 0.877  3.23
Mn 0.621 0.122 0.128  3.21
Mn 0.618 0.370 0.374  3.20
Mn 0.879 0.630 0.875  3.22
Mn 0.878 0.878 0.626  3.23
Mn 0.859 0.123 0.378  3.85
Ni 0.125 0.853 0.378  1.75
Ni 0.375 0.125 0.877  1.77
Ni 0.626 0.625 0.624  1.77
Ni 0.870 0.375 0.125  1.78
O 0.112 0.895 0.616  -0.03
O 0.114 0.617 0.886  -0.10
O 0.128 0.155 0.886  0.08
O 0.122 0.396 0.105  -0.05
O 0.136 0.362 0.640  -0.09
O 0.142 0.615 0.352  -0.03
O 0.147 0.857 0.131  -0.04
O 0.354 0.143 0.628  -0.03
O 0.358 0.377 0.854  -0.05
O 0.363 0.634 0.136  -0.11
O 0.376 0.607 0.601  -0.05
O 0.371 0.849 0.358  -0.04
O 0.382 0.386 0.387  -0.10
O 0.390 0.098 0.122  -0.03
O 0.399 0.874 0.893  -0.06
O 0.601 0.376 0.607  -0.05
O 0.606 0.602 0.374  -0.05
O 0.613 0.885 0.114  -0.11
O 0.619 0.352 0.141  -0.06
O 0.625 0.107 0.897  -0.04
O 0.611 0.139 0.360  0.01
O 0.646 0.875 0.647  -0.05
O 0.650 0.645 0.873  -0.05
O 0.847 0.356 0.374  -0.04
O 0.852 0.127 0.148  -0.03
O 0.867 0.866 0.862  -0.11
O 0.886 0.891 0.395  -0.04
O 0.876 0.648 0.643  -0.05
O 0.893 0.113 0.610  -0.08
O 0.892 0.400 0.876  -0.05
O 0.897 0.625 0.107  -0.05

Output
- V (Å³/cell) = 580.85
- calculated total energy (eV/atom) = -6.45
- symmetry = No. 1
- crystal system = triclinic